Record 1
Entry from the Alexandria database: an optimized crystal structure of Pm3Nd2Sn4 (GGA-PBE).

- E above lowest polymorph (kJ per mole of atoms) = 17.2
- crystal system = orthorhombic
- uncorrected energy (eV for the cell shown) = -180.50

Cell: 7.140 17.444 9.140 Å, 90.00 90.00 90.00°
Space group Cmce (No. 64)
Unique sites:
Pm 0.000 0.000 0.000
Pm 0.250 0.206 0.250
Nd 0.000 0.110 0.591
Sn 0.000 0.185 0.942
Sn 0.250 0.028 0.250

=====

Record 2
Entry from the Alexandria database: an optimized crystal structure of RbNaSb2Mo (GGA-PBE).

- crystal system = tetragonal
- uncorrected formation energy (eV per atom) = 1.03
- uncorrected energy (eV for the cell shown) = -16.23

Cell: 5.599 5.599 5.436 Å, 90.00 90.00 90.00°
Space group P4/mmm (No. 123)
Unique sites:
Rb 0.000 0.000 0.000
Na 0.500 0.500 0.500
Sb 0.000 0.500 0.500
Mo 0.500 0.500 0.000

=====

Record 3
Entry from the Alexandria database: an optimized crystal structure of Ca2AcNpN4 (GGA-PBE).

- crystal system = orthorhombic
- uncorrected formation energy (eV per atom) = -0.82
- uncorrected energy (eV for the cell shown) = -243.64

Cell: 3.768 12.358 12.085 Å, 90.00 90.00 90.00°
Space group Cmcm (No. 63)
Unique sites:
Ca 0.000 0.124 0.025
Ac 0.000 0.380 0.250
Np 0.000 0.360 0.750
N 0.000 0.050 0.250
N 0.000 0.238 0.634
N 0.000 0.500 0.000

=====

Record 4
Entry from the Alexandria database: an optimized crystal structure of CsRbRh2Cl (GGA-PBE).

- crystal system = tetragonal
- uncorrected formation energy (eV per atom) = 0.43
- uncorrected energy (eV for the cell shown) = -16.24

Cell: 4.738 4.738 6.034 Å, 90.00 90.00 90.00°
Space group P4/mmm (No. 123)
Unique sites:
Cs 0.000 0.000 0.000
Rb 0.500 0.500 0.000
Rh 0.000 0.500 0.500
Cl 0.000 0.000 0.500

=====

Record 5
Entry from the Alexandria database: an optimized crystal structure of Th4TeRu2 (GGA-PBE).

- E above lowest polymorph (kJ per mole of atoms) = 0.0
- crystal system = trigonal
- uncorrected formation energy (eV per atom) = -0.62
- uncorrected energy (eV for the cell shown) = -167.05

Cell: 4.1452 4.1452 41.1541 Å, 90.00 90.00 120.00°
Space group R-3m (No. 166, hexagonal axes)
Unique sites:
Th 0.0000 0.0000 0.1298
Th 0.0000 0.0000 0.2774
Te 0.0000 0.0000 0.0000
Ru 0.0000 0.0000 0.4280

=====

Record 6
Entry from the Alexandria database: an optimized crystal structure of AlZnTe2N (GGA-PBE).

- E above lowest polymorph (kJ per mole of atoms) = 47.2
- crystal system = tetragonal
- uncorrected formation energy (eV per atom) = 0.78
- uncorrected energy (eV for the cell shown) = -15.75

Cell: 5.694 5.694 3.615 Å, 90.00 90.00 90.00°
Space group P4/mmm (No. 123)
Unique sites:
Al 0.000 0.000 0.000
Zn 0.500 0.500 0.500
Te 0.000 0.500 0.500
N 0.500 0.500 0.000

=====

Record 7
Entry from the Alexandria database: an optimized crystal structure of Cr2CuPd6 (GGA-PBE).

- crystal system = orthorhombic
- uncorrected energy (eV for the cell shown) = -220.23

Cell: 3.985 11.127 11.953 Å, 90.00 90.00 90.00°
Space group Fmmm (No. 69)
Unique sites:
Cr 0.000 0.000 0.159
Cu 0.000 0.000 0.500
Pd 0.000 0.156 0.332
Pd 0.000 0.160 0.000

=====

Record 8
Entry from the Alexandria database: an optimized crystal structure of Rb12CdHg5 (GGA-PBE).

- crystal system = orthorhombic
- uncorrected energy (eV for the cell shown) = -32.63

Cell: 12.220 12.355 13.391 Å, 90.00 90.00 90.00°
Space group Immm (No. 71)
Unique sites:
Rb 0.000 0.195 0.237
Rb 0.203 0.500 0.173
Rb 0.222 0.317 0.500
Cd 0.000 0.000 0.500
Hg 0.000 0.000 0.000
Hg 0.000 0.369 0.000
Hg 0.000 0.500 0.386

=====

Record 9
Entry from the Alexandria database: an optimized crystal structure of Ce2AlPt (GGA-PBE).

- E above lowest polymorph (kJ per mole of atoms) = 58.0
- crystal system = trigonal
- uncorrected energy (eV for the cell shown) = -65.75

Cell: 2.9975 2.9975 33.7732 Å, 90.00 90.00 120.00°
Space group R-3m (No. 166, hexagonal axes)
Unique sites:
Ce 0.0000 0.0000 0.0915
Al 0.0000 0.0000 0.0000
Pt 0.0000 0.0000 0.5000

=====

Record 10
Entry from the Alexandria database: an optimized crystal structure of NdErBr6 (GGA-PBE).

- E above lowest polymorph (kJ per mole of atoms) = 0.0
- crystal system = monoclinic
- uncorrected formation energy (eV per atom) = -1.84
- uncorrected energy (eV for the cell shown) = -68.11

Cell: 7.060 13.338 7.055 Å, 90.00 106.92 90.00°
Space group C2/m (No. 12)
Unique sites:
Nd 0.000 0.000 0.000
Er 0.000 0.500 0.500
Br 0.239 0.355 0.741
Br 0.246 0.500 0.256

=====

Record 11
Entry from the Alexandria database: an optimized crystal structure of LiTl2F6 (GGA-PBE).

- crystal system = monoclinic
- uncorrected formation energy (eV per atom) = -2.02
- uncorrected energy (eV for the cell shown) = -72.19

Cell: 5.544 5.864 9.172 Å, 90.00 118.38 90.00°
Space group P2_1/c (No. 14)
Unique sites:
Li 0.000 0.000 0.000
Tl 0.313 0.103 0.774
F 0.047 0.080 0.219
F 0.281 0.696 0.105
F 0.349 0.165 0.054

=====

Record 12
Entry from the Alexandria database: an optimized crystal structure of LaAlWCl2 (GGA-PBE).

- crystal system = tetragonal
- uncorrected formation energy (eV per atom) = 0.04
- uncorrected energy (eV for the cell shown) = -25.11

Cell: 4.778 4.778 5.164 Å, 90.00 90.00 90.00°
Space group P4/mmm (No. 123)
Unique sites:
La 0.000 0.000 0.000
Al 0.500 0.500 0.000
W 0.500 0.500 0.500
Cl 0.000 0.500 0.500